Entry a
Entry from Alexandria: ScSbSe2Br after structural relaxation (PBE).

Geometry as CIF:
```
data_ScSbSe2Br
_cell_length_a 5.248
_cell_length_b 5.248
_cell_length_c 5.047
_cell_angle_alpha 90.00
_cell_angle_beta 90.00
_cell_angle_gamma 90.00
_space_group_name_H-M_alt 'P 4/m m m'
_space_group_IT_number 123
_space_group_name_Hall '-P 4 2'
loop_
_atom_site_label
_atom_site_fract_x
_atom_site_fract_y
_atom_site_fract_z
Sc1 0.000 0.000 0.000
Sb1 0.500 0.500 0.500
Se1 0.000 0.500 0.000
Br1 0.000 0.000 0.500
```

Computed properties:
theoretical density = 4.832 g/cm³
V = 27.80 Å³/atom
N(E_F) = 3.35 states/eV per cell



Entry b
Entry from Alexandria: ScSbSe2Br after structural relaxation (PBE).

Geometry as CIF:
```
data_ScSbSe2Br
_cell_length_a 5.416
_cell_length_b 5.416
_cell_length_c 5.351
_cell_angle_alpha 90.00
_cell_angle_beta 90.00
_cell_angle_gamma 90.00
_space_group_name_H-M_alt 'P 4/m m m'
_space_group_IT_number 123
_space_group_name_Hall '-P 4 2'
loop_
_atom_site_label
_atom_site_fract_x
_atom_site_fract_y
_atom_site_fract_z
Sc1 0.000 0.000 0.000
Sb1 0.500 0.500 0.500
Se1 0.000 0.500 0.500
Br1 0.500 0.500 0.000
```

Computed properties:
theoretical density = 4.280 g/cm³
V = 31.39 Å³/atom
N(E_F) = 5.30 states/eV per cell



Q: Which of them is the most stable? A: entry a.



Entry a
Entry from Alexandria: ScSb2TeBr after structural relaxation (PBE).

Geometry as CIF:
```
data_ScSb2TeBr
_cell_length_a 5.402
_cell_length_b 5.402
_cell_length_c 5.609
_cell_angle_alpha 90.00
_cell_angle_beta 90.00
_cell_angle_gamma 90.00
_space_group_name_H-M_alt 'P 4/m m m'
_space_group_IT_number 123
_space_group_name_Hall '-P 4 2'
loop_
_atom_site_label
_atom_site_fract_x
_atom_site_fract_y
_atom_site_fract_z
Sc1 0.000 0.000 0.000
Sb1 0.000 0.500 0.500
Te1 0.500 0.500 0.000
Br1 0.500 0.500 0.500
```

Computed properties:
theoretical density = 5.031 g/cm³
V = 32.74 Å³/atom
N(E_F) = 4.89 states/eV per cell



Entry b
Entry from Alexandria: ScSb2TeBr after structural relaxation (PBE).

Geometry as CIF:
```
data_ScSb2TeBr
_cell_length_a 5.549
_cell_length_b 5.549
_cell_length_c 5.377
_cell_angle_alpha 90.00
_cell_angle_beta 90.00
_cell_angle_gamma 90.00
_space_group_name_H-M_alt 'P 4/m m m'
_space_group_IT_number 123
_space_group_name_Hall '-P 4 2'
loop_
_atom_site_label
_atom_site_fract_x
_atom_site_fract_y
_atom_site_fract_z
Sc1 0.000 0.000 0.000
Sb1 0.000 0.500 0.000
Te1 0.000 0.000 0.500
Br1 0.500 0.500 0.500
```

Computed properties:
theoretical density = 4.975 g/cm³
V = 33.11 Å³/atom
N(E_F) = 2.30 states/eV per cell



Q: Which of them is the most stable? A: entry b.



Entry a
Entry from Alexandria: SbSe2Br after structural relaxation (PBE).

Geometry as CIF:
```
data_SbSe2Br
_cell_length_a 3.3380
_cell_length_b 3.3380
_cell_length_c 30.6784
_cell_angle_alpha 90.00
_cell_angle_beta 90.00
_cell_angle_gamma 120.00
_space_group_name_H-M_alt 'R -3 m'
_space_group_IT_number 166
_space_group_name_Hall '-R 3 2"'
loop_
_atom_site_label
_atom_site_fract_x
_atom_site_fract_y
_atom_site_fract_z
Sb1 0.0000 0.0000 0.0000
Se1 0.0000 0.0000 0.0881
Br1 0.0000 0.0000 0.5000
```

Computed properties:
theoretical density = 6.051 g/cm³
V = 24.67 Å³/atom
N(E_F) = 9.03 states/eV per cell



Entry b
Entry from Alexandria: SbSe2Br after structural relaxation (PBE).

Geometry as CIF:
```
data_SbSe2Br
_cell_length_a 4.1933
_cell_length_b 4.1933
_cell_length_c 25.3064
_cell_angle_alpha 90.00
_cell_angle_beta 90.00
_cell_angle_gamma 120.00
_space_group_name_H-M_alt 'R -3 m'
_space_group_IT_number 166
_space_group_name_Hall '-R 3 2"'
loop_
_atom_site_label
_atom_site_fract_x
_atom_site_fract_y
_atom_site_fract_z
Sb1 0.0000 0.0000 0.0000
Se1 0.0000 0.0000 0.3969
Br1 0.0000 0.0000 0.5000
```

Computed properties:
theoretical density = 4.648 g/cm³
V = 32.11 Å³/atom
N(E_F) = 5.00 states/eV per cell



Q: Which of them is the most stable? A: entry b.



Entry a
Entry from Alexandria: SbSe2Br after structural relaxation (PBE).

Geometry as CIF:
```
data_SbSe2Br
_cell_length_a 3.9733
_cell_length_b 3.9733
_cell_length_c 23.2729
_cell_angle_alpha 90.00
_cell_angle_beta 90.00
_cell_angle_gamma 120.00
_space_group_name_H-M_alt 'R -3 m'
_space_group_IT_number 166
_space_group_name_Hall '-R 3 2"'
loop_
_atom_site_label
_atom_site_fract_x
_atom_site_fract_y
_atom_site_fract_z
Sb1 0.0000 0.0000 0.0000
Se1 0.0000 0.0000 0.2627
Br1 0.0000 0.0000 0.5000
```

Computed properties:
theoretical density = 5.630 g/cm³
V = 26.52 Å³/atom
N(E_F) = 8.59 states/eV per cell



Entry b
Entry from Alexandria: SbSe2Br after structural relaxation (PBE).

Geometry as CIF:
```
data_SbSe2Br
_cell_length_a 3.878
_cell_length_b 8.515
_cell_length_c 8.112
_cell_angle_alpha 90.00
_cell_angle_beta 90.00
_cell_angle_gamma 90.00
_space_group_name_H-M_alt 'C m m m'
_space_group_IT_number 65
_space_group_name_Hall '-C 2 2'
loop_
_atom_site_label
_atom_site_fract_x
_atom_site_fract_y
_atom_site_fract_z
Sb1 0.000 0.000 0.000
Se1 0.000 0.500 0.231
Br1 0.000 0.000 0.500
```

Computed properties:
theoretical density = 4.458 g/cm³
V = 33.48 Å³/atom
N(E_F) = 3.29 states/eV per cell



Entry c
Entry from Alexandria: SbSe2Br after structural relaxation (PBE).

Geometry as CIF:
```
data_SbSe2Br
_cell_length_a 5.479
_cell_length_b 4.130
_cell_length_c 5.643
_cell_angle_alpha 90.00
_cell_angle_beta 106.59
_cell_angle_gamma 90.00
_space_group_name_H-M_alt 'P 1 2/m 1'
_space_group_IT_number 10
loop_
_space_group_symop_operation_xyz
'x,y,z'
'-x,-y,-z'
'-x,y,-z'
'x,-y,z'
loop_
_atom_site_label
_atom_site_fract_x
_atom_site_fract_y
_atom_site_fract_z
Sb1 0.000 0.000 0.000
Se1 0.393 0.500 0.156
Br1 0.000 0.000 0.500
```

Computed properties:
theoretical density = 4.879 g/cm³
V = 30.59 Å³/atom
N(E_F) = 0.83 states/eV per cell



Entry d
Entry from Alexandria: SbSe2Br after structural relaxation (PBE).

Geometry as CIF:
```
data_SbSe2Br
_cell_length_a 10.442
_cell_length_b 4.009
_cell_length_c 7.610
_cell_angle_alpha 90.00
_cell_angle_beta 112.06
_cell_angle_gamma 90.00
_space_group_name_H-M_alt 'C 1 m 1'
_space_group_IT_number 8
loop_
_space_group_symop_operation_xyz
'x,y,z'
'x,-y,z'
'x+1/2,y+1/2,z'
'x+1/2,-y+1/2,z'
loop_
_atom_site_label
_atom_site_fract_x
_atom_site_fract_y
_atom_site_fract_z
Sb1 0.000 0.000 0.000
Se1 0.004 0.500 0.270
Se2 0.203 0.500 0.183
Br1 0.358 0.000 0.714
```

Computed properties:
theoretical density = 4.045 g/cm³
V = 36.90 Å³/atom



Q: Which of them is the most stable? A: entry c.